Entry 1:
# PBE-GGA Ti2Pd2PtAu, relaxed
# - Uncorrected energy: -6.501 eV/atom
# - Energy relative to the elements: -0.59 eV per atom
data_Ti2Pd2PtAu
_chemical_formula_sum 'Ti4 Pd4 Pt2 Au2'
_cell_length_a 3.9641
_cell_length_b 8.4492
_cell_length_c 5.6861
_cell_angle_alpha 90.00
_cell_angle_beta 90.00
_cell_angle_gamma 90.00
_space_group_name_H-M_alt 'P m c 21'
_space_group_IT_number 26
_space_group_name_Hall 'P 2c -2'
loop_
_atom_site_label
_atom_site_type_symbol
_atom_site_fract_x
_atom_site_fract_y
_atom_site_fract_z
Ti1 Ti 0.0000 0.1474 0.0000
Ti2 Ti 0.5000 0.3443 0.2917
Pd1 Pd 0.0000 0.1699 0.5071
Pd2 Pd 0.5000 0.0163 0.2608
Pt1 Pt 0.0000 0.4828 0.0318
Au1 Au 0.5000 0.3231 0.7813

---

Entry 2:
# PBE-GGA CaIF2, relaxed
# - Formation energy without anion corrections: -1.497 eV per atom
# - Uncorrected energy: -3.320 eV/atom
# - Energy above the most stable polymorph in this dataset: 1260 meV/atom
data_CaIF2
_chemical_formula_sum 'Ca3 I3 F6'
_cell_length_a 3.8476
_cell_length_b 3.8476
_cell_length_c 29.3778
_cell_angle_alpha 90.00
_cell_angle_beta 90.00
_cell_angle_gamma 120.00
_space_group_name_H-M_alt 'R -3 m'
_space_group_IT_number 166
_space_group_name_Hall '-R 3 2"'
loop_
_atom_site_label
_atom_site_type_symbol
_atom_site_fract_x
_atom_site_fract_y
_atom_site_fract_z
Ca1 Ca 0.0000 0.0000 0.0000
I1 I 0.0000 0.0000 0.5000
F1 F 0.0000 0.0000 0.0679

---

Entry 3:
# PBE-GGA Dy5Er2ThSc, relaxed
# - Uncorrected energy: -4.929 eV/atom
# - Energy relative to the elements: 0.17 eV per atom
data_Dy5Er2ThSc
_chemical_formula_sum 'Dy20 Er8 Th4 Sc4'
_cell_length_a 5.6262
_cell_length_b 21.6617
_cell_length_c 9.3966
_cell_angle_alpha 90.00
_cell_angle_beta 90.00
_cell_angle_gamma 90.00
_space_group_name_H-M_alt 'C m c 21'
_space_group_IT_number 36
_space_group_name_Hall 'C 2c -2'
loop_
_atom_site_label
_atom_site_type_symbol
_atom_site_fract_x
_atom_site_fract_y
_atom_site_fract_z
Dy1 Dy 0.0000 0.0132 0.0000
Dy2 Dy 0.0000 0.2695 0.3103
Dy3 Dy 0.0000 0.3033 0.7048
Dy4 Dy 0.0000 0.3961 0.0308
Dy5 Dy 0.0000 0.4701 0.7338
Er1 Er 0.0000 0.1156 0.3083
Er2 Er 0.0000 0.1326 0.6958
Th1 Th 0.0000 0.4013 0.4118
Sc1 Sc 0.0000 0.1888 0.0008

---

Entry 4:
# PBE-GGA Ca2TlOs, relaxed
# - Uncorrected energy: -4.145 eV/atom
# - Energy above the most stable polymorph in this dataset: 32 meV/atom
# - Energy relative to the elements: 0.25 eV per atom
data_Ca2TlOs
_chemical_formula_sum 'Ca4 Tl2 Os2'
_cell_length_a 4.6135
_cell_length_b 3.9859
_cell_length_c 11.3520
_cell_angle_alpha 90.00
_cell_angle_beta 90.00
_cell_angle_gamma 90.00
_space_group_name_H-M_alt 'A m m 2'
_space_group_IT_number 38
_space_group_name_Hall 'A 2 -2'
loop_
_atom_site_label
_atom_site_type_symbol
_atom_site_fract_x
_atom_site_fract_y
_atom_site_fract_z
Ca1 Ca 0.0000 0.0000 0.0000
Ca2 Ca 0.5000 0.0000 0.2967
Tl1 Tl 0.0000 0.0000 0.7142
Os1 Os 0.5000 0.0000 0.5825

---

Entry 5:
# PBE-GGA Ta3Be5H12, relaxed
# - Uncorrected energy: -4.513 eV/atom
data_Ta3Be5H12
_chemical_formula_sum 'Ta24 Be40 H96'
_cell_length_a 10.2797
_cell_length_b 10.2797
_cell_length_c 10.2797
_cell_angle_alpha 90.00
_cell_angle_beta 90.00
_cell_angle_gamma 90.00
_space_group_name_H-M_alt 'I a -3 d'
_space_group_IT_number 230
_space_group_name_Hall '-I 4bd 2c 3'
loop_
_atom_site_label
_atom_site_type_symbol
_atom_site_fract_x
_atom_site_fract_y
_atom_site_fract_z
Ta1 Ta 0.0000 0.2500 0.1250
Be1 Be 0.0000 0.0000 0.0000
Be2 Be 0.0000 0.2500 0.3750
H1 H 0.0280 0.0621 0.6496

---

Entry 6:
# PBE-GGA SiSb2P, relaxed
# - Formation energy without anion corrections: 0.516 eV per atom
# - Uncorrected energy: -4.254 eV/atom
# - Energy above the most stable polymorph in this dataset: 445 meV/atom
data_SiSb2P
_chemical_formula_sum 'Si1 Sb2 P1'
_cell_length_a 3.4599
_cell_length_b 4.8725
_cell_length_c 4.9732
_cell_angle_alpha 90.00
_cell_angle_beta 90.00
_cell_angle_gamma 90.00
_space_group_name_H-M_alt 'P m m m'
_space_group_IT_number 47
_space_group_name_Hall '-P 2 2'
loop_
_atom_site_label
_atom_site_type_symbol
_atom_site_fract_x
_atom_site_fract_y
_atom_site_fract_z
Si1 Si 0.0000 0.0000 0.0000
Sb1 Sb 0.5000 0.0000 0.5000
Sb2 Sb 0.5000 0.5000 0.0000
P1 P 0.0000 0.5000 0.5000

---

Entry 7:
# PBE-GGA GdYMgTl, relaxed
# - Uncorrected energy: -6.389 eV/atom
# - Energy relative to the elements: -0.26 eV per atom
data_GdYMgTl
_chemical_formula_sum 'Gd4 Y4 Mg4 Tl4'
_cell_length_a 7.5941
_cell_length_b 7.5941
_cell_length_c 7.5941
_cell_angle_alpha 90.00
_cell_angle_beta 90.00
_cell_angle_gamma 90.00
_space_group_name_H-M_alt 'F -4 3 m'
_space_group_IT_number 216
_space_group_name_Hall 'F -4 2 3'
loop_
_atom_site_label
_atom_site_type_symbol
_atom_site_fract_x
_atom_site_fract_y
_atom_site_fract_z
Gd1 Gd 0.0000 0.0000 0.0000
Y1 Y 0.0000 0.0000 0.5000
Mg1 Mg 0.2500 0.2500 0.2500
Tl1 Tl 0.2500 0.2500 0.7500

---

Entry 8:
# PBE-GGA Na2Bi3Pd3, relaxed
# - Uncorrected energy: -3.857 eV/atom
# - Energy relative to the elements: -0.12 eV per atom
data_Na2Bi3Pd3
_chemical_formula_sum 'Na2 Bi3 Pd3'
_cell_length_a 8.1108
_cell_length_b 8.1108
_cell_length_c 3.2685
_cell_angle_alpha 90.00
_cell_angle_beta 90.00
_cell_angle_gamma 120.00
_space_group_name_H-M_alt 'P -6 2 m'
_space_group_IT_number 189
_space_group_name_Hall 'P -6 -2'
loop_
_atom_site_label
_atom_site_type_symbol
_atom_site_fract_x
_atom_site_fract_y
_atom_site_fract_z
Na1 Na 0.3333 0.6667 0.0000
Bi1 Bi 0.0000 0.2598 0.0000
Pd1 Pd 0.0000 0.6743 0.5000

---

Entry 9:
# PBE-GGA ScTlPt, relaxed
# - Uncorrected energy: -5.543 eV/atom
# - Energy relative to the elements: -0.63 eV per atom
data_ScTlPt
_chemical_formula_sum 'Sc4 Tl4 Pt4'
_cell_length_a 6.7090
_cell_length_b 4.4361
_cell_length_c 8.4572
_cell_angle_alpha 90.00
_cell_angle_beta 90.00
_cell_angle_gamma 90.00
_space_group_name_H-M_alt 'P n m a'
_space_group_IT_number 62
_space_group_name_Hall '-P 2ac 2n'
loop_
_atom_site_label
_atom_site_type_symbol
_atom_site_fract_x
_atom_site_fract_y
_atom_site_fract_z
Sc1 Sc 0.0259 0.2500 0.1746
Tl1 Tl 0.1564 0.2500 0.5645
Pt1 Pt 0.2160 0.2500 0.8863

---

Entry 10:
# PBE-GGA TaH2Br4, relaxed
# - Uncorrected energy: -3.558 eV/atom
data_TaH2Br4
_chemical_formula_sum 'Ta1 H2 Br4'
_cell_length_a 6.8123
_cell_length_b 3.5460
_cell_length_c 8.5132
_cell_angle_alpha 90.00
_cell_angle_beta 112.30
_cell_angle_gamma 90.00
_space_group_name_H-M_alt 'P 1 2/m 1'
_space_group_IT_number 10
_space_group_name_Hall '-P 2y'
loop_
_atom_site_label
_atom_site_type_symbol
_atom_site_fract_x
_atom_site_fract_y
_atom_site_fract_z
Ta1 Ta 0.0000 0.0000 0.0000
H1 H 0.2472 0.5000 0.4948
Br1 Br 0.1496 0.5000 0.8440
Br2 Br 0.3428 0.0000 0.2457

---

Entry 11:
# PBE-GGA HoTm3Pt2, relaxed
# - Uncorrected energy: -6.011 eV/atom
# - Energy above the most stable polymorph in this dataset: 0 meV/atom
# - Energy relative to the elements: -1.00 eV per atom
data_HoTm3Pt2
_chemical_formula_sum 'Ho2 Tm6 Pt4'
_cell_length_a 4.7266
_cell_length_b 8.6870
_cell_length_c 7.0750
_cell_angle_alpha 90.00
_cell_angle_beta 90.00
_cell_angle_gamma 90.00
_space_group_name_H-M_alt 'P m c 21'
_space_group_IT_number 26
_space_group_name_Hall 'P 2c -2'
loop_
_atom_site_label
_atom_site_type_symbol
_atom_site_fract_x
_atom_site_fract_y
_atom_site_fract_z
Ho1 Ho 0.0000 0.0821 0.0000
Tm1 Tm 0.0000 0.3299 0.6333
Tm2 Tm 0.5000 0.1717 0.3457
Tm3 Tm 0.5000 0.4179 0.9790
Pt1 Pt 0.0000 0.3456 0.2317
Pt2 Pt 0.5000 0.1561 0.7471

---

Entry 12:
# PBE-GGA LiSmFe4, relaxed
# - Uncorrected energy: -6.618 eV/atom
# - Energy relative to the elements: 0.13 eV per atom
data_LiSmFe4
_chemical_formula_sum 'Li4 Sm4 Fe16'
_cell_length_a 7.0934
_cell_length_b 7.0934
_cell_length_c 7.0934
_cell_angle_alpha 90.00
_cell_angle_beta 90.00
_cell_angle_gamma 90.00
_space_group_name_H-M_alt 'F -4 3 m'
_space_group_IT_number 216
_space_group_name_Hall 'F -4 2 3'
loop_
_atom_site_label
_atom_site_type_symbol
_atom_site_fract_x
_atom_site_fract_y
_atom_site_fract_z
Li1 Li 0.0000 0.0000 0.0000
Sm1 Sm 0.2500 0.2500 0.2500
Fe1 Fe 0.1254 0.1254 0.6254